# 1
# Ce3DyO6 | Alexandria via LeMat-Bulk | PBE-GGA | optimized geometry
data_Ce3DyO6
_chemical_formula_sum 'Ce6 Dy2 O12'
_cell_length_a 6.970
_cell_length_b 6.970
_cell_length_c 6.970
_cell_angle_alpha 91.71
_cell_angle_beta 91.71
_cell_angle_gamma 91.71
_space_group_name_H-M_alt 'P 1'
_space_group_IT_number 1
loop_
_space_group_symop_operation_xyz
'x,y,z'
loop_
_atom_site_label
_atom_site_fract_x
_atom_site_fract_y
_atom_site_fract_z
Ce1 0.052 0.562 0.752
Ce2 0.248 0.948 0.438
Ce3 0.438 0.248 0.948
Ce4 0.562 0.752 0.052
Ce5 0.752 0.052 0.562
Ce6 0.948 0.438 0.248
Dy1 0.000 0.000 0.000
Dy2 0.500 0.500 0.500
O1 0.034 0.902 0.689
O2 0.098 0.311 0.966
O3 0.189 0.590 0.436
O4 0.311 0.966 0.098
O5 0.410 0.564 0.811
O6 0.436 0.189 0.590
O7 0.564 0.811 0.410
O8 0.590 0.436 0.189
O9 0.689 0.034 0.902
O10 0.811 0.410 0.564
O11 0.902 0.689 0.034
O12 0.966 0.098 0.311
# - space group = No. 148
# - formation energy without anion corrections (kJ/mol of formula units) = -3239
# - density of states at the Fermi level (states/eV per atom) = 1.63
# - magnetic moment (Bohr magnetons per cell) = 6.01


# 2
# LiB2C2 | Alexandria via LeMat-Bulk | PBE-GGA | optimized geometry
data_LiB2C2
_chemical_formula_sum 'Li3 B6 C6'
_cell_length_a 2.731
_cell_length_b 2.731
_cell_length_c 19.598
_cell_angle_alpha 90.00
_cell_angle_beta 90.00
_cell_angle_gamma 120.00
_space_group_name_H-M_alt 'P 1'
_space_group_IT_number 1
loop_
_space_group_symop_operation_xyz
'x,y,z'
loop_
_atom_site_label
_atom_site_fract_x
_atom_site_fract_y
_atom_site_fract_z
Li1 0.000 0.000 0.000
Li2 0.000 0.000 0.184
Li3 0.000 0.000 0.816
B1 0.333 0.667 0.275
B2 0.333 0.667 0.550
B3 0.333 0.667 0.909
B4 0.667 0.333 0.091
B5 0.667 0.333 0.450
B6 0.667 0.333 0.725
C1 0.333 0.667 0.090
C2 0.333 0.667 0.448
C3 0.333 0.667 0.729
C4 0.667 0.333 0.271
C5 0.667 0.333 0.552
C6 0.667 0.333 0.910
# - formation energy from the elements (eV/atom) = -0.024
# - space group = No. 164
# - excess energy over the best structure of this formula in the dataset (meV per atom) = 45.9
# - density of states at the Fermi level (states/eV per atom) = 0.28
# - magnetic moment (Bohr magnetons per cell) = 0.00


Calculated total DFT energy (no corrections) in order - -0.315, -0.249 Ha/atom